[1]
VASP calculation (PBE-GGA) on a geometry-optimized ScAlHg structure.

abc: 7.8442 7.8442 7.8442
angles: 149.44 149.44 43.76
Closest atoms and distances in Å follow each position.
Sites, in units of the cell vectors:
Sc (0.1604, 0.1604, 0.0000)  5 Hg 2.93-2.94, 4 Al 3.12
Sc (0.8396, 0.8396, 0.0000)  5 Hg 2.93-2.94, 4 Al 3.12
Al (0.0000, 0.5000, 0.5000)  4 Hg 2.89, 4 Al 2.92, 4 Sc 3.12
Al (0.5000, 0.0000, 0.5000)  4 Hg 2.89, 4 Al 2.92, 4 Sc 3.12
Hg (0.3619, 0.3614, 0.0000)  4 Al 2.89, 5 Sc 2.93-2.94
Hg (0.6381, 0.6387, 0.0000)  4 Al 2.89, 5 Sc 2.93-2.94

Calculated values
For the formation enthalpy at 0 K, the calculation gives -329 meV per atom. The symmetry is No. 139. For the energy above the lowest structure with this stoichiometry, the calculation gives 58.0 meV per atom. The spin magnetization comes out at 0.0 Bohr magnetons per cell. Its calculated total energy is -3.788 eV per atom.



[2]
VASP calculation (PBE-GGA) on a geometry-optimized ScAlHg3 structure.

abc: 5.5319 5.5319 5.5319
angles: 90.00 90.00 90.00
Closest atoms and distances in Å follow each position.
Sites, in units of the cell vectors:
Sc (0.0000, 0.0000, 0.0000)  6 Hg 2.77
Al (0.5000, 0.5000, 0.5000)  12 Hg 3.91
Hg (0.0000, 0.0000, 0.5000)  2 Sc 2.77
Hg (0.0000, 0.5000, 0.0000)  2 Sc 2.77
Hg (0.5000, 0.0000, 0.0000)  2 Sc 2.77

Calculated values
For the formation enthalpy at 0 K, the calculation gives 565 meV per atom. The symmetry is No. 221. For the energy above the lowest structure with this stoichiometry, the calculation gives 292.1 meV per atom. The spin magnetization comes out at 0.0 Bohr magnetons per cell. Its calculated total energy is -1.631 eV per atom.



[3]
VASP calculation (PBE-GGA) on a geometry-optimized ScAlHg structure.

abc: 5.4440 3.1975 7.3885
angles: 90.00 106.49 90.00
Closest atoms and distances in Å follow each position.
Sites, in units of the cell vectors:
Sc (0.1136, 0.0000, 0.3030)  4 Al 2.96-2.99, 6 Hg 3.08-3.20, 2 Sc 3.20
Sc (0.8864, 0.0000, 0.6970)  4 Al 2.96-2.99, 6 Hg 3.08-3.20, 2 Sc 3.20
Al (0.2415, 0.5000, 0.0044)  2 Al 2.61-2.83, 2 Hg 2.75-2.78
Al (0.7585, 0.5000, 0.9956)  2 Al 2.61-2.83, 2 Hg 2.75-2.78
Hg (0.3672, 0.5000, 0.6645)  2 Al 2.75-2.78
Hg (0.6328, 0.5000, 0.3355)  2 Al 2.75-2.78

Calculated values
For the formation enthalpy at 0 K, the calculation gives -297 meV per atom. The symmetry is No. 10. For the energy above the lowest structure with this stoichiometry, the calculation gives 90.3 meV per atom. The spin magnetization comes out at 0.0 Bohr magnetons per cell. Its calculated total energy is -3.756 eV per atom.